Here is a geometry-optimized DyTm2Cd3In3 structure from the Open Quantum Materials Database. Energies are from PBE-GGA.

extended XYZ file:
```
9
Lattice="4.5962 0.0000 0.0000 0.0000 6.4779 3.7227 0.0000 -6.4779 3.7227" Properties=species:S:1:pos:R:3 pbc="T T T"
Dy 0.0000 0.0000 0.0000
Tm 0.0000 -2.8197 2.5876
Tm 0.0000 2.8197 2.5876
Cd 2.2981 0.0000 2.3720
Cd 2.2981 -1.5975 5.1241
Cd 2.2981 1.5975 5.1241
In 0.0000 0.0000 4.1959
In 2.2981 -4.3059 4.2086
In 2.2981 4.3059 4.2086
```

Properties
**Space-group type**: Amm2 (38)
**Total energy**: -3.093 eV per atom
**Volume**: 221.7 Å³/cell
**Size of the total moment**: 0.001 Bohr magnetons per cell